VASP calculation (GGA-PBE) on crystalline Ba2MgWI at its relaxed geometry.

```
Ba2MgWI
1.0
6.3273 0.0000 0.0000
0.0000 6.3273 0.0000
0.0000 0.0000 5.2162
Ba Mg W I
2 1 1 1
Cartesian
0.0000 3.1636 0.0000 Ba
3.1636 0.0000 0.0000 Ba
0.0000 0.0000 2.6081 Mg
3.1636 3.1636 0.0000 W
3.1636 3.1636 2.6081 I
```

Calculated values
N(E_F) = 5.57 states/eV/f.u.
E_form (uncorrected) = 0.699 eV/atom
crystal system = tetragonal

=====

VASP calculation (GGA-PBE) on crystalline TbPmGePb at its relaxed geometry.

```
TbPmGePb
1.0
7.5548 0.0000 0.0000
0.0000 7.5548 0.0000
0.0000 0.0000 7.5548
Tb Pm Ge Pb
4 4 4 4
Cartesian
0.0000 0.0000 0.0000 Tb
0.0000 3.7774 3.7774 Tb
3.7774 0.0000 3.7774 Tb
3.7774 3.7774 0.0000 Tb
0.0000 0.0000 3.7774 Pm
0.0000 3.7774 0.0000 Pm
3.7774 0.0000 0.0000 Pm
3.7774 3.7774 3.7774 Pm
1.8887 1.8887 1.8887 Ge
1.8887 5.6661 5.6661 Ge
5.6661 1.8887 5.6661 Ge
5.6661 5.6661 1.8887 Ge
1.8887 1.8887 5.6661 Pb
1.8887 5.6661 1.8887 Pb
5.6661 1.8887 1.8887 Pb
5.6661 5.6661 5.6661 Pb
```

Calculated values
N(E_F) = 4.46 states/eV/f.u.
crystal system = cubic
ΔH_f (0 K) = -0.442 eV/atom

=====

VASP calculation (GGA-PBE) on crystalline Tb2BiPd4 at its relaxed geometry.

```
Tb2BiPd4
1.0
4.0914 0.0000 0.0000
0.0000 4.0914 0.0000
0.0000 0.0000 18.2751
Tb Bi Pd
4 2 8
Cartesian
0.0000 0.0000 2.2878 Tb
0.0000 0.0000 15.9873 Tb
2.0457 2.0457 6.8497 Tb
2.0457 2.0457 11.4254 Tb
0.0000 0.0000 9.1376 Bi
2.0457 2.0457 0.0000 Bi
0.0000 0.0000 6.4247 Pd
0.0000 0.0000 11.8504 Pd
0.0000 2.0457 4.5688 Pd
0.0000 2.0457 13.7063 Pd
2.0457 0.0000 4.5688 Pd
2.0457 0.0000 13.7063 Pd
2.0457 2.0457 2.7129 Pd
2.0457 2.0457 15.5623 Pd
```

Calculated values
N(E_F) = 4.05 states/eV/f.u.
crystal system = tetragonal
ΔH_f (0 K) = -0.738 eV/atom

=====

VASP calculation (GGA-PBE) on crystalline Np3AsS2 at its relaxed geometry.

```
Np3AsS2
1.0
3.4404 -5.9857 0.0000
3.4404 5.9857 0.0000
-2.3133 0.0000 6.5161
Np As S
6 2 4
Cartesian
1.7202 2.9929 0.0000 Np
0.4852 1.0437 3.2445 Np
-0.6714 -1.0437 6.5026 Np
0.5635 -2.9929 3.2580 Np
5.2388 1.0437 0.0135 Np
4.0822 -1.0437 3.2716 Np
2.8620 0.9539 1.6290 As
1.7054 -0.9539 4.8871 As
2.8620 4.9834 1.6290 S
1.7054 2.9397 4.8871 S
2.8620 -2.9397 1.6290 S
1.7054 -4.9834 4.8871 S
```

Calculated values
N(E_F) = 22.26 states/eV/f.u.
E_form (uncorrected) = -1.133 eV/atom
crystal system = monoclinic

=====

VASP calculation (GGA-PBE) on crystalline LiCaBe2 at its relaxed geometry.

```
LiCaBe2
1.0
6.3630 0.0000 0.0000
0.0000 6.3630 0.0000
0.0000 0.0000 6.3630
Li Ca Be
4 4 8
Cartesian
0.0000 0.0000 0.0000 Li
0.0000 3.1815 3.1815 Li
3.1815 0.0000 3.1815 Li
3.1815 3.1815 0.0000 Li
1.5908 1.5908 1.5908 Ca
1.5908 4.7723 4.7723 Ca
4.7723 1.5908 4.7723 Ca
4.7723 4.7723 1.5908 Ca
0.0000 0.0000 3.1815 Be
0.0000 3.1815 0.0000 Be
1.5908 1.5908 4.7723 Be
1.5908 4.7723 1.5908 Be
3.1815 0.0000 0.0000 Be
3.1815 3.1815 3.1815 Be
4.7723 1.5908 1.5908 Be
4.7723 4.7723 4.7723 Be
```

Calculated values
N(E_F) = 3.49 states/eV/f.u.
distance to the lowest polymorph of the same formula = 166.3 meV/atom
crystal system = cubic
ΔH_f (0 K) = 0.403 eV/atom

=====

VASP calculation (GGA-PBE) on crystalline Ho4Hg7Pb at its relaxed geometry.

```
Ho4Hg7Pb
1.0
6.3652 -2.7657 0.0000
6.3652 2.7657 0.0000
-5.8642 0.0000 9.2710
Ho Hg Pb
4 7 1
Cartesian
-0.5413 0.0000 2.5520 Ho
-1.7993 0.0000 7.6635 Ho
8.6654 0.0000 1.6075 Ho
7.4074 0.0000 6.7190 Ho
-2.9321 0.0000 4.6355 Hg
1.5732 0.0000 0.3532 Hg
0.3111 0.0000 5.4572 Hg
4.5988 0.0000 1.4343 Hg
2.2673 0.0000 7.8367 Hg
6.5550 0.0000 3.8138 Hg
5.2929 0.0000 8.9178 Hg
3.4331 0.0000 4.6355 Pb
```

Calculated values
N(E_F) = 6.52 states/eV/f.u.
crystal system = monoclinic
ΔH_f (0 K) = -0.227 eV/atom

=====

VASP calculation (GGA-PBE) on crystalline AcPr2Cd2Ag2 at its relaxed geometry.

```
AcPr2Cd2Ag2
1.0
2.4836 1.4339 9.5180
-2.4836 1.4339 9.5180
0.0000 -2.8678 9.5180
Ac Pr Cd Ag
1 2 2 2
Cartesian
0.0000 0.0000 0.0000 Ac
0.0000 0.0000 3.6366 Pr
0.0000 0.0000 24.9173 Pr
0.0000 0.0000 7.3291 Cd
0.0000 0.0000 21.2249 Cd
0.0000 0.0000 11.6056 Ag
0.0000 0.0000 16.9483 Ag
```

Calculated values
N(E_F) = 6.32 states/eV/f.u.
crystal system = trigonal
ΔH_f (0 K) = -0.215 eV/atom

=====

VASP calculation (GGA-PBE) on crystalline LiTb6Ru5 at its relaxed geometry.

```
LiTb6Ru5
1.0
2.4344 -7.2951 0.0000
2.4344 7.2951 0.0000
0.0000 0.0000 6.8600
Li Tb Ru
1 6 5
Cartesian
0.0000 0.0000 0.0000 Li
2.4344 4.8066 1.7361 Tb
2.4344 4.8066 5.1239 Tb
2.4344 0.0000 1.7787 Tb
2.4344 0.0000 5.0814 Tb
2.4344 -4.8066 1.7361 Tb
2.4344 -4.8066 5.1239 Tb
0.0000 0.0000 3.4300 Ru
2.4344 2.4391 3.4300 Ru
2.4344 2.3629 0.0000 Ru
2.4344 -2.3629 0.0000 Ru
2.4344 -2.4391 3.4300 Ru
```

Calculated values
N(E_F) = 7.10 states/eV/f.u.
crystal system = orthorhombic
ΔH_f (0 K) = -0.299 eV/atom